No. 1
The following is a DFT calculation (PBE) of crystalline ScRh2W at its relaxed geometry.

## Properties
The value obtained for the electronic total energy is -35.39 eV for the cell shown. The calculation puts the formation energy at -0.35 eV/atom.

Structure (CIF):
```
data_ScRh2W
_symmetry_space_group_name_H-M 'P 1'
_symmetry_Int_Tables_number 1
_cell_length_a 2.8903
_cell_length_b 3.7246
_cell_length_c 5.9421
_cell_angle_alpha 90.00
_cell_angle_beta 90.00
_cell_angle_gamma 90.00
loop_
_symmetry_equiv_pos_as_xyz
'x,y,z'
loop_
_atom_site_label
_atom_site_fract_x
_atom_site_fract_y
_atom_site_fract_z
Sc1 0.0000 0.0000 0.0000
Rh1 0.5000 0.5000 0.2649
Rh2 0.5000 0.5000 0.7351
W1 0.0000 0.0000 0.5000
```

***

No. 2
The following is a DFT calculation (PBE) of crystalline NaZrCd2Fe at its relaxed geometry.

## Properties
The value obtained for the electronic total energy is -12.28 eV for the cell shown. The calculation puts the formation energy at 1.58 eV/atom.

Structure (CIF):
```
data_NaZrCd2Fe
_symmetry_space_group_name_H-M 'P 1'
_symmetry_Int_Tables_number 1
_cell_length_a 5.5219
_cell_length_b 5.5219
_cell_length_c 5.6160
_cell_angle_alpha 90.00
_cell_angle_beta 90.00
_cell_angle_gamma 90.00
loop_
_symmetry_equiv_pos_as_xyz
'x,y,z'
loop_
_atom_site_label
_atom_site_fract_x
_atom_site_fract_y
_atom_site_fract_z
Na1 0.0000 0.0000 0.0000
Zr1 0.0000 0.0000 0.5000
Cd1 0.0000 0.5000 0.5000
Cd2 0.5000 0.0000 0.5000
Fe1 0.5000 0.5000 0.0000
```

***

No. 3
The following is a DFT calculation (PBE) of crystalline Tb7Dy2Tm4 at its relaxed geometry.

## Properties
The value obtained for the electronic total energy is -57.13 eV for the cell shown. The calculation puts the formation energy at 0.18 eV/atom.

Structure (CIF):
```
data_Tb7Dy2Tm4
_symmetry_space_group_name_H-M 'P 1'
_symmetry_Int_Tables_number 1
_cell_length_a 6.0404
_cell_length_b 6.0404
_cell_length_c 13.0698
_cell_angle_alpha 90.00
_cell_angle_beta 90.00
_cell_angle_gamma 120.00
loop_
_symmetry_equiv_pos_as_xyz
'x,y,z'
loop_
_atom_site_label
_atom_site_fract_x
_atom_site_fract_y
_atom_site_fract_z
Tb1 0.0000 0.0000 0.0000
Tb2 0.0000 0.3613 0.2191
Tb3 0.0000 0.6387 0.7809
Tb4 0.3613 0.0000 0.2191
Tb5 0.3613 0.3613 0.7809
Tb6 0.6387 0.0000 0.7809
Tb7 0.6387 0.6387 0.2191
Dy1 0.3333 0.6667 0.0000
Dy2 0.6667 0.3333 0.0000
Tm1 0.0000 0.0000 0.3936
Tm2 0.0000 0.0000 0.6064
Tm3 0.3333 0.6667 0.5000
Tm4 0.6667 0.3333 0.5000
```